Here is a relaxed Rb2VPCl6 crystal from Alexandria. Energies are from GGA-PBE.

Geometry as CIF:
```
data_Rb2VPCl6
_cell_length_a 7.922
_cell_length_b 7.922
_cell_length_c 9.094
_cell_angle_alpha 90.00
_cell_angle_beta 90.00
_cell_angle_gamma 90.00
_space_group_name_H-M_alt 'I 4/m m m'
_space_group_IT_number 139
_space_group_name_Hall '-I 4 2'
loop_
_atom_site_label
_atom_site_fract_x
_atom_site_fract_y
_atom_site_fract_z
Rb1 0.000 0.500 0.250
V1 0.000 0.000 0.000
P1 0.000 0.000 0.500
Cl1 0.000 0.000 0.253
Cl2 0.214 0.214 0.000
```

Summary:
magnetic moment: 1.44 μB/f.u.
ΔE_f (raw): -1.020 eV per atom

=====

Here is a relaxed RbVPCl2 crystal from Alexandria. Energies are from GGA-PBE.

Geometry as CIF:
```
data_RbVPCl2
_cell_length_a 5.126
_cell_length_b 5.126
_cell_length_c 4.654
_cell_angle_alpha 90.00
_cell_angle_beta 90.00
_cell_angle_gamma 90.00
_space_group_name_H-M_alt 'P 4/m m m'
_space_group_IT_number 123
_space_group_name_Hall '-P 4 2'
loop_
_atom_site_label
_atom_site_fract_x
_atom_site_fract_y
_atom_site_fract_z
Rb1 0.000 0.000 0.000
V1 0.500 0.500 0.500
P1 0.500 0.500 0.000
Cl1 0.000 0.500 0.500
```

Summary:
magnetic moment: 1.00 μB/f.u.
ΔE_f (raw): -0.830 eV per atom

=====

Here is a relaxed RbPWCl2 crystal from Alexandria. Energies are from GGA-PBE.

Geometry as CIF:
```
data_RbPWCl2
_cell_length_a 5.901
_cell_length_b 5.901
_cell_length_c 6.210
_cell_angle_alpha 90.00
_cell_angle_beta 90.00
_cell_angle_gamma 90.00
_space_group_name_H-M_alt 'P 4/m m m'
_space_group_IT_number 123
_space_group_name_Hall '-P 4 2'
loop_
_atom_site_label
_atom_site_fract_x
_atom_site_fract_y
_atom_site_fract_z
Rb1 0.000 0.000 0.000
P1 0.000 0.000 0.500
W1 0.500 0.500 0.500
Cl1 0.000 0.500 0.000
```

Summary:
magnetic moment: 1.96 μB/f.u.
ΔE_f (raw): 1.564 eV per atom

=====

Here is a relaxed RbPWCl2 crystal from Alexandria. Energies are from GGA-PBE.

Geometry as CIF:
```
data_RbPWCl2
_cell_length_a 5.186
_cell_length_b 5.186
_cell_length_c 4.696
_cell_angle_alpha 90.00
_cell_angle_beta 90.00
_cell_angle_gamma 90.00
_space_group_name_H-M_alt 'P 4/m m m'
_space_group_IT_number 123
_space_group_name_Hall '-P 4 2'
loop_
_atom_site_label
_atom_site_fract_x
_atom_site_fract_y
_atom_site_fract_z
Rb1 0.000 0.000 0.000
P1 0.500 0.500 0.000
W1 0.500 0.500 0.500
Cl1 0.000 0.500 0.500
```

Summary:
magnetic moment: 1.50 μB/f.u.
ΔE_f (raw): -0.416 eV per atom

=====

Here is a relaxed RbYP2Cl crystal from Alexandria. Energies are from GGA-PBE.

Geometry as CIF:
```
data_RbYP2Cl
_cell_length_a 5.225
_cell_length_b 5.225
_cell_length_c 5.393
_cell_angle_alpha 90.00
_cell_angle_beta 90.00
_cell_angle_gamma 90.00
_space_group_name_H-M_alt 'P 4/m m m'
_space_group_IT_number 123
_space_group_name_Hall '-P 4 2'
loop_
_atom_site_label
_atom_site_fract_x
_atom_site_fract_y
_atom_site_fract_z
Rb1 0.000 0.000 0.000
Y1 0.500 0.500 0.500
P1 0.000 0.500 0.000
Cl1 0.000 0.000 0.500
```

Summary:
magnetic moment: 0.00 μB/f.u.
ΔE_f (raw): 0.662 eV per atom

=====

Here is a relaxed RbYP2Cl crystal from Alexandria. Energies are from GGA-PBE.

Geometry as CIF:
```
data_RbYP2Cl
_cell_length_a 5.389
_cell_length_b 5.389
_cell_length_c 5.544
_cell_angle_alpha 90.00
_cell_angle_beta 90.00
_cell_angle_gamma 90.00
_space_group_name_H-M_alt 'P 4/m m m'
_space_group_IT_number 123
_space_group_name_Hall '-P 4 2'
loop_
_atom_site_label
_atom_site_fract_x
_atom_site_fract_y
_atom_site_fract_z
Rb1 0.000 0.000 0.000
Y1 0.500 0.500 0.500
P1 0.000 0.500 0.500
Cl1 0.500 0.500 0.000
```

Summary:
magnetic moment: 0.97 μB/f.u.
ΔE_f (raw): -0.603 eV per atom

=====

Here is a relaxed RbYPCl2 crystal from Alexandria. Energies are from GGA-PBE.

Geometry as CIF:
```
data_RbYPCl2
_cell_length_a 5.420
_cell_length_b 5.420
_cell_length_c 5.634
_cell_angle_alpha 90.00
_cell_angle_beta 90.00
_cell_angle_gamma 90.00
_space_group_name_H-M_alt 'P 4/m m m'
_space_group_IT_number 123
_space_group_name_Hall '-P 4 2'
loop_
_atom_site_label
_atom_site_fract_x
_atom_site_fract_y
_atom_site_fract_z
Rb1 0.000 0.000 0.000
Y1 0.500 0.500 0.500
P1 0.000 0.000 0.500
Cl1 0.000 0.500 0.000
```

Summary:
magnetic moment: 0.00 μB/f.u.
ΔE_f (raw): -0.029 eV per atom

=====

Here is a relaxed RbY2PCl crystal from Alexandria. Energies are from GGA-PBE.

Geometry as CIF:
```
data_RbY2PCl
_cell_length_a 5.848
_cell_length_b 5.848
_cell_length_c 5.199
_cell_angle_alpha 90.00
_cell_angle_beta 90.00
_cell_angle_gamma 90.00
_space_group_name_H-M_alt 'P 4/m m m'
_space_group_IT_number 123
_space_group_name_Hall '-P 4 2'
loop_
_atom_site_label
_atom_site_fract_x
_atom_site_fract_y
_atom_site_fract_z
Rb1 0.000 0.000 0.000
Y1 0.000 0.500 0.000
P1 0.500 0.500 0.500
Cl1 0.000 0.000 0.500
```

Summary:
magnetic moment: 0.00 μB/f.u.
ΔE_f (raw): 0.976 eV per atom

=====

Here is a relaxed RbYPCl2 crystal from Alexandria. Energies are from GGA-PBE.

Geometry as CIF:
```
data_RbYPCl2
_cell_length_a 5.410
_cell_length_b 5.410
_cell_length_c 5.470
_cell_angle_alpha 90.00
_cell_angle_beta 90.00
_cell_angle_gamma 90.00
_space_group_name_H-M_alt 'P 4/m m m'
_space_group_IT_number 123
_space_group_name_Hall '-P 4 2'
loop_
_atom_site_label
_atom_site_fract_x
_atom_site_fract_y
_atom_site_fract_z
Rb1 0.000 0.000 0.000
Y1 0.500 0.500 0.500
P1 0.500 0.500 0.000
Cl1 0.000 0.500 0.500
```

Summary:
magnetic moment: 1.00 μB/f.u.
ΔE_f (raw): -1.375 eV per atom

=====

Here is a relaxed RbZnP2Cl crystal from Alexandria. Energies are from GGA-PBE.

Geometry as CIF:
```
data_RbZnP2Cl
_cell_length_a 7.629
_cell_length_b 7.629
_cell_length_c 6.015
_cell_angle_alpha 90.00
_cell_angle_beta 90.00
_cell_angle_gamma 90.00
_space_group_name_H-M_alt 'P 4/m m m'
_space_group_IT_number 123
_space_group_name_Hall '-P 4 2'
loop_
_atom_site_label
_atom_site_fract_x
_atom_site_fract_y
_atom_site_fract_z
Rb1 0.000 0.000 0.000
Zn1 0.500 0.500 0.500
P1 0.000 0.500 0.000
Cl1 0.000 0.000 0.500
```

Summary:
magnetic moment: 6.17 μB/f.u.
ΔE_f (raw): 0.999 eV per atom

=====

Here is a relaxed RbZnP2Cl crystal from Alexandria. Energies are from GGA-PBE.

Geometry as CIF:
```
data_RbZnP2Cl
_cell_length_a 4.630
_cell_length_b 4.630
_cell_length_c 6.538
_cell_angle_alpha 90.00
_cell_angle_beta 90.00
_cell_angle_gamma 90.00
_space_group_name_H-M_alt 'P 4/m m m'
_space_group_IT_number 123
_space_group_name_Hall '-P 4 2'
loop_
_atom_site_label
_atom_site_fract_x
_atom_site_fract_y
_atom_site_fract_z
Rb1 0.000 0.000 0.000
Zn1 0.500 0.500 0.500
P1 0.000 0.500 0.500
Cl1 0.500 0.500 0.000
```

Summary:
magnetic moment: 1.48 μB/f.u.
ΔE_f (raw): -0.017 eV per atom

=====

Here is a relaxed Rb2ZrPCl6 crystal from Alexandria. Energies are from GGA-PBE.

Geometry as CIF:
```
data_Rb2ZrPCl6
_cell_length_a 8.420
_cell_length_b 8.420
_cell_length_c 9.094
_cell_angle_alpha 90.00
_cell_angle_beta 90.00
_cell_angle_gamma 90.00
_space_group_name_H-M_alt 'I 4/m m m'
_space_group_IT_number 139
_space_group_name_Hall '-I 4 2'
loop_
_atom_site_label
_atom_site_fract_x
_atom_site_fract_y
_atom_site_fract_z
Rb1 0.000 0.500 0.250
Zr1 0.000 0.000 0.000
P1 0.000 0.000 0.500
Cl1 0.000 0.000 0.259
Cl2 0.213 0.213 0.000
```

Summary:
magnetic moment: 1.00 μB/f.u.
ΔE_f (raw): -1.259 eV per atom